# 1
In2Pd3Rh: relaxed, GGA-PBE.

Structure (POSCAR):
```
In2Pd3Rh
1.0
-3.9987 -3.3212 -2.1985
2.1055 0.8535 -5.1190
4.9771 -4.1248 4.4230
In Pd Rh
4 6 2
Cartesian
0.1764 -2.3886 -0.3257
2.9074 -4.2038 -2.5687
3.8590 -2.9659 1.0927
-0.7751 -3.6265 -3.9871
1.3105 -2.0529 -2.8669
1.7733 -4.5396 -0.0275
4.8463 -2.4350 -1.4763
-1.7624 -4.1575 -1.4181
-0.4202 -1.0205 -4.9385
-1.4730 -1.4472 -2.3790
0.5264 0.2134 -1.2797
1.5791 0.6401 -3.8392
```

Results
VASP energy: -60.30 eV per cell
DFT formation energy: -0.290 eV/atom
symmetry: Ibam (72)
mass density: 10.15 Mg/m³

=====

# 2
In4Pd3Rh: relaxed, GGA-PBE.

Structure (POSCAR):
```
In4Pd3Rh
1.0
-1.9547 -0.2871 -2.5850
-2.4341 -0.9374 1.9447
-3.7684 12.7576 1.4325
Rh Pd In
1 3 4
Cartesian
-2.1944 -0.6122 -0.3201
-3.1230 2.5316 0.0329
-4.0786 5.7666 0.3961
-5.0341 9.0016 0.7594
-3.3098 11.2050 1.2582
-0.4586 1.5526 0.1743
-1.4086 4.7685 0.5354
-2.3598 7.9891 0.8971
```

Results
VASP energy: -37.59 eV per cell
DFT formation energy: -0.463 eV/atom
symmetry: P4/mmm (123)
mass density: 10.33 Mg/m³

=====

# 3
InPdRh2: relaxed, GGA-PBE.

Structure (POSCAR):
```
InPdRh2
1.0
3.3107 0.0000 0.0000
0.0000 3.3107 0.0000
0.0000 0.0000 5.8506
Rh Pd In
2 1 1
Cartesian
0.0000 0.0000 4.4583
0.0000 0.0000 1.3924
1.6553 1.6553 0.0000
1.6553 1.6553 2.9253
```

Results
VASP energy: -22.92 eV per cell
DFT formation energy: -0.070 eV/atom
symmetry: P4/mmm (123)
mass density: 11.06 Mg/m³

=====

# 4
In2PdRh: relaxed, GGA-PBE.

Structure (POSCAR):
```
In2PdRh
1.0
-2.8240 -1.4240 0.1871
0.3650 -0.3125 3.1316
-3.0494 6.1749 0.9716
Rh Pd In
1 1 2
Cartesian
-1.2295 -0.8682 1.6593
-2.7542 2.2192 2.1451
-2.3044 4.6663 0.7342
-0.7450 1.5086 0.2374
```

Results
VASP energy: -19.78 eV per cell
DFT formation energy: -0.438 eV/atom
symmetry: P4/mmm (123)
mass density: 10.44 Mg/m³

=====

# 5
In2PdRh2S6: relaxed, GGA-PBE.

Structure (POSCAR):
```
In2PdRh2S6
1.0
-4.9423 -1.0224 3.8841
1.5651 -4.2529 -4.4746
4.8918 -1.1161 4.2397
In Pd Rh S
2 1 2 6
Cartesian
-3.8600 -1.5598 2.4939
0.4827 -3.7156 -3.0843
2.4459 -0.5581 2.1199
1.8420 -3.7343 0.4313
-0.3275 -2.6573 3.2180
0.9055 -4.6464 2.5007
3.8069 -2.6073 1.3495
0.6091 -1.7451 1.1486
1.4814 -1.4528 4.3367
-2.2923 -3.7842 2.2998
0.0332 -4.9387 -0.6874
```

Results
ΔE_f (raw): -365 meV/atom
VASP energy: -54.15 eV per cell
symmetry: C2/m (12)
mass density: 5.62 Mg/m³

=====

# 6
InPdRh2S2: relaxed, GGA-PBE.

Structure (POSCAR):
```
InPdRh2S2
1.0
-0.1586 0.5922 3.7619
-3.1091 -1.0117 1.9591
2.6388 -8.6865 3.4096
In Pd Rh S
1 1 2 2
Cartesian
0.0000 0.0000 0.0000
-0.3145 -4.5530 4.5653
-0.3004 -7.2222 6.9171
-0.3285 -1.8838 2.2136
-1.2072 -2.5063 4.2055
0.5783 -6.5996 4.9252
```

Results
ΔE_f (raw): -85 meV/atom
VASP energy: -31.40 eV per cell
symmetry: R-3m (166)
mass density: 6.86 Mg/m³

=====

Number 5 is which compound? In2PdRh2S6